1.
VASP calculation (PBE-GGA) on ZnTeI after structural relaxation.

Calculated values
Density of states at the Fermi level, states/eV/cell: 1.0
Total magnetization, μB per cell: 0.00
Energy, eV/cell: -6.708
Formation energy from raw total energies, eV/f.u.: -0.74

Cell and atoms, written as CIF:
```
data_ZnTeI
_chemical_formula_sum 'Zn1 Te1 I1'
_space_group_name_H-M_alt 'P 1'
_space_group_IT_number 1
_cell_length_a 3.369
_cell_length_b 4.318
_cell_length_c 8.115
_cell_angle_alpha 91.07
_cell_angle_beta 90.44
_cell_angle_gamma 112.93
loop_
_space_group_symop_operation_xyz
'x,y,z'
loop_
_atom_site_label
_atom_site_type_symbol
_atom_site_fract_x
_atom_site_fract_y
_atom_site_fract_z
Zn1 Zn 0.000 0.000 0.000
Te1 Te 0.706 0.418 0.833
I1 I 0.024 0.036 0.319
```

=====

2.
VASP calculation (PBE-GGA) on ZnTeI after structural relaxation.

Calculated values
Total magnetization, μB per cell: 0.00
Energy, eV/cell: -14.388
Formation energy from raw total energies, eV/f.u.: -1.23

Cell and atoms, written as CIF:
```
data_ZnTeI
_chemical_formula_sum 'Zn2 Te2 I2'
_space_group_name_H-M_alt 'P -1'
_space_group_IT_number 2
_cell_length_a 5.319
_cell_length_b 6.848
_cell_length_c 7.201
_cell_angle_alpha 118.21
_cell_angle_beta 99.00
_cell_angle_gamma 90.01
loop_
_space_group_symop_operation_xyz
'x,y,z'
'-x,-y,-z'
loop_
_atom_site_label
_atom_site_type_symbol
_atom_site_fract_x
_atom_site_fract_y
_atom_site_fract_z
Zn1 Zn 0.000 0.242 0.000
Te1 Te 0.378 0.088 0.177
I1 I 0.137 0.361 0.720
```

=====

3.
VASP calculation (PBE-GGA) on ZnTe2I2 after structural relaxation.

Calculated values
Density of states at the Fermi level, states/eV/cell: 4.3
Total magnetization, μB per cell: 0.00
Energy, eV/cell: -20.816
Formation energy from raw total energies, eV/f.u.: 0.25
Energy above the most stable polymorph in this dataset, meV per atom: 0

Cell and atoms, written as CIF:
```
data_ZnTe2I2
_chemical_formula_sum 'Zn2 Te4 I4'
_space_group_name_H-M_alt 'I 4/m m m'
_space_group_IT_number 139
_space_group_name_Hall '-I 4 2'
_cell_length_a 6.655
_cell_length_b 6.655
_cell_length_c 9.559
_cell_angle_alpha 90.00
_cell_angle_beta 90.00
_cell_angle_gamma 90.00
loop_
_atom_site_label
_atom_site_type_symbol
_atom_site_fract_x
_atom_site_fract_y
_atom_site_fract_z
Zn1 Zn 0.000 0.000 0.000
Te1 Te 0.000 0.000 0.261
I1 I 0.000 0.500 0.250
```

=====

4.
VASP calculation (PBE-GGA) on ZnTeI after structural relaxation.

Calculated values
Density of states at the Fermi level, states/eV/cell: 2.0
Total magnetization, μB per cell: 0.00
Energy, eV/cell: -13.413
Formation energy from raw total energies, eV/f.u.: -0.74

Cell and atoms, written as CIF:
```
data_ZnTeI
_chemical_formula_sum 'Zn2 Te2 I2'
_space_group_name_H-M_alt 'C 1 m 1'
_space_group_IT_number 8
_cell_length_a 7.956
_cell_length_b 3.369
_cell_length_c 8.722
_cell_angle_alpha 90.00
_cell_angle_beta 111.48
_cell_angle_gamma 90.00
loop_
_space_group_symop_operation_xyz
'x,y,z'
'x,-y,z'
'x+1/2,y+1/2,z'
'x+1/2,-y+1/2,z'
loop_
_atom_site_label
_atom_site_type_symbol
_atom_site_fract_x
_atom_site_fract_y
_atom_site_fract_z
Zn1 Zn 0.000 0.000 0.000
Te1 Te 0.354 0.000 0.167
I1 I 0.363 0.500 0.681
```

=====

5.
VASP calculation (PBE-GGA) on ZnTe2I after structural relaxation.

Calculated values
Density of states at the Fermi level, states/eV/cell: 17.9
Total magnetization, μB per cell: 0.00
Energy, eV/cell: -28.863
Formation energy from raw total energies, eV/f.u.: 1.89
Energy above the most stable polymorph in this dataset, meV per atom: 504

Cell and atoms, written as CIF:
```
data_ZnTe2I
_chemical_formula_sum 'Zn4 Te8 I4'
_space_group_name_H-M_alt 'F m -3 m'
_space_group_IT_number 225
_space_group_name_Hall '-F 4 2 3'
_cell_length_a 7.610
_cell_length_b 7.610
_cell_length_c 7.610
_cell_angle_alpha 90.00
_cell_angle_beta 90.00
_cell_angle_gamma 90.00
loop_
_atom_site_label
_atom_site_type_symbol
_atom_site_fract_x
_atom_site_fract_y
_atom_site_fract_z
Zn1 Zn 0.000 0.000 0.000
Te1 Te 0.250 0.250 0.250
I1 I 0.000 0.000 0.500
```

=====

6.
VASP calculation (PBE-GGA) on Zr2TeI3 after structural relaxation.

Calculated values
Density of states at the Fermi level, states/eV/cell: 17.0
Total magnetization, μB per cell: 0.00
Energy, eV/cell: -120.032
Formation energy from raw total energies, eV/f.u.: -5.12

Cell and atoms, written as CIF:
```
data_Zr2TeI3
_chemical_formula_sum 'Zr8 Te4 I12'
_space_group_name_H-M_alt 'C 1 2/m 1'
_space_group_IT_number 12
_cell_length_a 31.483
_cell_length_b 3.888
_cell_length_c 6.990
_cell_angle_alpha 90.00
_cell_angle_beta 96.71
_cell_angle_gamma 90.00
loop_
_space_group_symop_operation_xyz
'x,y,z'
'-x,-y,-z'
'-x,y,-z'
'x,-y,z'
'x+1/2,y+1/2,z'
'-x+1/2,-y+1/2,-z'
'-x+1/2,y+1/2,-z'
'x+1/2,-y+1/2,z'
loop_
_atom_site_label
_atom_site_type_symbol
_atom_site_fract_x
_atom_site_fract_y
_atom_site_fract_z
Zr1 Zr 0.116 0.000 0.142
Zr2 Zr 0.120 0.500 0.530
Te1 Te 0.054 0.500 0.215
I1 I 0.067 0.000 0.727
I2 I 0.171 0.500 0.943
I3 I 0.186 0.000 0.456
```

=====

7.
VASP calculation (PBE-GGA) on Zr3TeI after structural relaxation.

Calculated values
Density of states at the Fermi level, states/eV/cell: 11.6
Total magnetization, μB per cell: 1.22
Energy, eV/cell: -26.960
Formation energy from raw total energies, eV/f.u.: 3.38
Energy above the most stable polymorph in this dataset, meV per atom: 0

Cell and atoms, written as CIF:
```
data_Zr3TeI
_chemical_formula_sum 'Zr3 Te1 I1'
_space_group_name_H-M_alt 'P m -3 m'
_space_group_IT_number 221
_space_group_name_Hall '-P 4 2 3'
_cell_length_a 5.362
_cell_length_b 5.362
_cell_length_c 5.362
_cell_angle_alpha 90.00
_cell_angle_beta 90.00
_cell_angle_gamma 90.00
loop_
_atom_site_label
_atom_site_type_symbol
_atom_site_fract_x
_atom_site_fract_y
_atom_site_fract_z
Zr1 Zr 0.000 0.000 0.500
Te1 Te 0.000 0.000 0.000
I1 I 0.500 0.500 0.500
```

=====

8.
VASP calculation (PBE-GGA) on ZrTeI after structural relaxation.

Calculated values
Density of states at the Fermi level, states/eV/cell: 2.1
Total magnetization, μB per cell: 0.00
Energy, eV/cell: -15.739
Formation energy from raw total energies, eV/f.u.: -2.50

Cell and atoms, written as CIF:
```
data_ZrTeI
_chemical_formula_sum 'Zr1 Te1 I1'
_space_group_name_H-M_alt 'P 3 m 1'
_space_group_IT_number 156
_cell_length_a 3.9360
_cell_length_b 3.9360
_cell_length_c 7.4396
_cell_angle_alpha 90.00
_cell_angle_beta 90.00
_cell_angle_gamma 120.00
loop_
_space_group_symop_operation_xyz
'x,y,z'
'-y,x-y,z'
'-x+y,-x,z'
'-y,-x,z'
'-x+y,y,z'
'x,x-y,z'
loop_
_atom_site_label
_atom_site_type_symbol
_atom_site_fract_x
_atom_site_fract_y
_atom_site_fract_z
Zr1 Zr 0.0000 0.0000 0.0000
Te1 Te 0.6667 0.3333 0.2401
I1 I 0.3333 0.6667 0.7373
```